Crystalline GaMoH2 at its relaxed geometry. Source: Alexandria via LeMat-Bulk, functional PBE.

Magnetization = 0.00 μB/f.u.
Energy above the most stable polymorph in this dataset = 54 meV per atom
VASP energy = -5.054 eV/atom

Lattice parameters (Å, degrees): 4.8299 3.0843 5.2446 90.00 91.38 90.00
Space group Pm (No. 6)
Symmetry-distinct sites (fractional):
Ga1 0.0000 0.0000 0.0000 x1
Ga2 0.4692 0.5000 0.8514 x1
Mo1 0.2805 0.5000 0.3306 x1
Mo2 0.7826 0.0000 0.5296 x1
H1 0.1668 0.0000 0.5424 x1
H2 0.5058 0.0000 0.2594 x1
H3 0.8811 0.5000 0.7086 x1
H4 0.8829 0.5000 0.3188 x1

Crystalline GaMoH2 at its relaxed geometry. Source: Alexandria via LeMat-Bulk, functional PBE.

Magnetization = 0.00 μB/f.u.
Energy above the most stable polymorph in this dataset = 190 meV per atom
VASP energy = -4.918 eV/atom

Lattice parameters (Å, degrees): 2.8342 2.8342 19.1461 90.00 90.00 120.00
Space group R-3m (No. 166, hexagonal axes)
Symmetry-distinct sites (fractional):
Ga1 0.0000 0.0000 0.0000 x3
Mo1 0.0000 0.0000 0.5000 x3
H1 0.0000 0.0000 0.1127 x6

Crystalline GaMoH2 at its relaxed geometry. Source: Alexandria via LeMat-Bulk, functional PBE.

Magnetization = 0.00 μB/f.u.
Energy above the most stable polymorph in this dataset = 41 meV per atom
VASP energy = -5.067 eV/atom

Lattice parameters (Å, degrees): 9.6737 3.1302 5.1614 90.00 101.39 90.00
Space group Cm (No. 8)
Symmetry-distinct sites (fractional):
Ga1 0.0000 0.0000 0.0000 x2
Ga2 0.1004 0.5000 0.5034 x2
Mo1 0.2277 0.5000 0.0530 x2
Mo2 0.3357 0.0000 0.6359 x2
H1 0.1932 0.0000 0.8256 x2
H2 0.2936 0.0000 0.2501 x2
H3 0.3973 0.5000 0.2416 x2
H4 0.4364 0.5000 0.5889 x2

Crystalline GaMo3H3 at its relaxed geometry. Source: Alexandria via LeMat-Bulk, functional PBE.

Magnetization = 0.00 μB/f.u.
Energy above the most stable polymorph in this dataset = 0 meV per atom
VASP energy = -6.466 eV/atom

Lattice parameters (Å, degrees): 7.3335 7.3335 3.0795 90.00 90.00 120.00
Space group P6_3/m (No. 176)
Symmetry-distinct sites (fractional):
Ga1 0.3333 0.6667 0.2500 x2
Mo1 0.0470 0.6903 0.7500 x6
H1 0.0500 0.8435 0.2500 x6

Crystalline GaMoH at its relaxed geometry. Source: Alexandria via LeMat-Bulk, functional PBE.

Magnetization = 0.00 μB/f.u.
Energy above the most stable polymorph in this dataset = 51 meV per atom
VASP energy = -5.729 eV/atom

Lattice parameters (Å, degrees): 8.9914 3.2174 6.0658 90.00 128.49 90.00
Space group Cm (No. 8)
Symmetry-distinct sites (fractional):
Ga1 0.0000 0.0000 0.0000 x2
Ga2 0.1350 0.5000 0.8170 x2
Mo1 0.2406 0.0000 0.5622 x2
Mo2 0.3988 0.0000 0.2642 x2
H1 0.1440 0.5000 0.3622 x2
H2 0.3640 0.5000 0.3852 x2

Crystalline GaMoH2 at its relaxed geometry. Source: Alexandria via LeMat-Bulk, functional PBE.

Magnetization = 0.00 μB/f.u.
Energy above the most stable polymorph in this dataset = 18 meV per atom
VASP energy = -5.090 eV/atom

Lattice parameters (Å, degrees): 3.2320 15.8956 3.1042 90.00 90.00 90.00
Space group Cmcm (No. 63)
Symmetry-distinct sites (fractional):
Ga1 0.0000 0.0776 0.2500 x4
Mo1 0.0000 0.3121 0.2500 x4
H1 0.0000 0.2470 0.7500 x4
H2 0.0000 0.4209 0.2500 x4

Crystalline GaMoH2 at its relaxed geometry. Source: Alexandria via LeMat-Bulk, functional PBE.

Magnetization = 0.00 μB/f.u.
Energy above the most stable polymorph in this dataset = 24 meV per atom
VASP energy = -5.083 eV/atom

Lattice parameters (Å, degrees): 9.3656 3.0993 6.0505 90.00 116.08 90.00
Space group Cm (No. 8)
Symmetry-distinct sites (fractional):
Ga1 0.0000 0.0000 0.0000 x2
Ga2 0.1710 0.0000 0.4909 x2
Mo1 0.1750 0.5000 0.8571 x2
Mo2 0.3873 0.0000 0.2869 x2
H1 0.2386 0.5000 0.1831 x2
H2 0.2960 0.0000 0.9289 x2
H3 0.3857 0.5000 0.4510 x2
H4 0.4604 0.0000 0.6254 x2

Crystalline GaMoH at its relaxed geometry. Source: Alexandria via LeMat-Bulk, functional PBE.

Magnetization = 0.00 μB/f.u.
Energy above the most stable polymorph in this dataset = 112 meV per atom
VASP energy = -5.667 eV/atom

Lattice parameters (Å, degrees): 8.5032 3.1130 5.2355 90.00 90.00 90.00
Space group Pnma (No. 62)
Symmetry-distinct sites (fractional):
Ga1 0.0007 0.2500 0.2279 x4
Mo1 0.2426 0.2500 0.5811 x4
H1 0.1869 0.7500 0.4144 x4

Question: Which value of energy above the most stable polymorph in this dataset does entry 1 give?
Answer: 54 meV per atom

Question: Which value of energy above the most stable polymorph in this dataset does entry 4 give?
Answer: 0 meV per atom

Copy entry 1 word for word.
Crystalline GaMoH2 at its relaxed geometry. Source: Alexandria via LeMat-Bulk, functional PBE.

Magnetization = 0.00 μB/f.u.
Energy above the most stable polymorph in this dataset = 54 meV per atom
VASP energy = -5.054 eV/atom

Lattice parameters (Å, degrees): 4.8299 3.0843 5.2446 90.00 91.38 90.00
Space group Pm (No. 6)
Symmetry-distinct sites (fractional):
Ga1 0.0000 0.0000 0.0000 x1
Ga2 0.4692 0.5000 0.8514 x1
Mo1 0.2805 0.5000 0.3306 x1
Mo2 0.7826 0.0000 0.5296 x1
H1 0.1668 0.0000 0.5424 x1
H2 0.5058 0.0000 0.2594 x1
H3 0.8811 0.5000 0.7086 x1
H4 0.8829 0.5000 0.3188 x1